DFT (PBE) results for crystalline SbTe2AsW at its relaxed geometry.

## Properties
Its volume is 147.75 Å³/cell. The energy comes out at -4.104 eV/atom. The space group is P4/mmm.

Lattice parameters (Å, degrees): 5.3508 5.3508 5.1604 90.00 90.00 90.00
Element x y z (fractional)
Sb 0.0000 0.0000 0.0000
Te 0.0000 0.5000 0.5000
Te 0.5000 0.0000 0.5000
As 0.0000 0.0000 0.5000
W 0.5000 0.5000 0.0000

DFT (PBE) results for crystalline Dy3AgTe2 at its relaxed geometry.

## Properties
Its volume is 683.23 Å³/cell. The energy comes out at -4.746 eV/atom. The space group is Fddd.

Lattice parameters (Å, degrees): 14.2541 13.5928 7.4934 79.32 69.57 31.10
Element x y z (fractional)
Dy 0.0409 0.5382 0.1987
Dy 0.1121 0.6379 0.6379
Dy 0.1987 0.7222 0.0409
Dy 0.2778 0.8013 0.4618
Dy 0.3621 0.8879 0.8879
Dy 0.4618 0.9591 0.2778
Dy 0.5382 0.0409 0.7222
Dy 0.6379 0.1121 0.1121
Dy 0.7222 0.1987 0.5382
Dy 0.8013 0.2778 0.9591
Dy 0.8879 0.3621 0.3621
Dy 0.9591 0.4618 0.8013
Ag 0.0412 0.0412 0.2088
Ag 0.2088 0.2088 0.0412
Ag 0.7912 0.7912 0.9588
Ag 0.9588 0.9588 0.7912
Te 0.1275 0.1275 0.6225
Te 0.2945 0.2945 0.4555
Te 0.3775 0.3775 0.8725
Te 0.4555 0.4555 0.2945
Te 0.5445 0.5445 0.7055
Te 0.6225 0.6225 0.1275
Te 0.7055 0.7055 0.5445
Te 0.8725 0.8725 0.3775

DFT (PBE) results for crystalline PrGa8Tc4 at its relaxed geometry.

## Properties
As for the formation enthalpy at 0 K: -3.6 eV/f.u. Its volume is 216.87 Å³/cell. The energy comes out at -5.697 eV/atom. The space group is I4/mmm.

Lattice parameters (Å, degrees): 6.9430 6.9430 6.9430 98.21 98.21 135.58
Element x y z (fractional)
Pr 0.0000 0.0000 0.0000
Ga 0.0000 0.3478 0.3478
Ga 0.0000 0.6522 0.6522
Ga 0.2846 0.5000 0.7846
Ga 0.3478 0.0000 0.3478
Ga 0.5000 0.2846 0.7846
Ga 0.5000 0.7154 0.2154
Ga 0.6522 0.0000 0.6522
Ga 0.7154 0.5000 0.2154
Tc 0.0000 0.0000 0.5000
Tc 0.0000 0.5000 0.0000
Tc 0.5000 0.0000 0.0000
Tc 0.5000 0.5000 0.5000

DFT (PBE) results for crystalline BeBiRu3 at its relaxed geometry.

## Properties
As for the formation enthalpy at 0 K: 11.6 eV/f.u. Its volume is 120.70 Å³/cell. The energy comes out at -4.768 eV/atom. The space group is Pm-3m.

Lattice parameters (Å, degrees): 4.9420 4.9420 4.9420 90.00 90.00 90.00
Element x y z (fractional)
Be 0.0000 0.0000 0.0000
Bi 0.5000 0.5000 0.5000
Ru 0.0000 0.5000 0.5000
Ru 0.5000 0.0000 0.5000
Ru 0.5000 0.5000 0.0000

DFT (PBE) results for crystalline Na3ReO at its relaxed geometry.

## Properties
Its volume is 102.18 Å³/cell. The energy comes out at -3.757 eV/atom. The space group is Pm-3m.

Lattice parameters (Å, degrees): 4.6750 4.6750 4.6750 90.00 90.00 90.00
Element x y z (fractional)
Na 0.0000 0.0000 0.5000
Na 0.0000 0.5000 0.0000
Na 0.5000 0.0000 0.0000
Re 0.5000 0.5000 0.5000
O 0.0000 0.0000 0.0000

DFT (PBE) results for crystalline Ba4ZnSi3 at its relaxed geometry.

## Properties
Its volume is 266.52 Å³/cell. The energy comes out at -3.488 eV/atom. The space group is Pmm2.

Lattice parameters (Å, degrees): 4.3007 4.9655 12.4803 90.00 90.00 90.00
Element x y z (fractional)
Ba 0.0000 0.0000 0.0000
Ba 0.0000 0.5000 0.4810
Ba 0.5000 0.0000 0.7114
Ba 0.5000 0.5000 0.2106
Zn 0.0000 0.5000 0.8084
Si 0.0000 0.0000 0.2915
Si 0.5000 0.0000 0.4027
Si 0.5000 0.5000 0.9141

DFT (PBE) results for crystalline CoGe at its relaxed geometry.

## Properties
As for the formation enthalpy at 0 K: 0.0 eV/f.u. Its volume is 53.18 Å³/cell. The energy comes out at -5.883 eV/atom. The space group is Cm.

Lattice parameters (Å, degrees): 3.8832 3.8832 5.9249 119.00 119.00 44.32
Element x y z (fractional)
Co 0.0000 0.0000 0.0000
Co 0.2238 0.2238 0.5250
Ge 0.4038 0.4038 0.2531
Ge 0.6148 0.6148 0.7716

DFT (PBE) results for crystalline NpPaGa3 at its relaxed geometry.

## Properties
As for the formation enthalpy at 0 K: 1.7 eV/f.u. Its volume is 252.07 Å³/cell. The energy comes out at -5.966 eV/atom. The space group is Cmcm.

Lattice parameters (Å, degrees): 7.5458 7.5458 4.9693 90.00 90.00 117.01
Element x y z (fractional)
Np 0.2210 0.7790 0.7500
Np 0.7790 0.2210 0.2500
Pa 0.4264 0.5736 0.7500
Pa 0.5736 0.4264 0.2500
Ga 0.0000 0.0000 0.0000
Ga 0.0000 0.0000 0.5000
Ga 0.1852 0.4936 0.2500
Ga 0.4936 0.1852 0.7500
Ga 0.5064 0.8148 0.2500
Ga 0.8148 0.5064 0.7500

DFT (PBE) results for crystalline HfZnNi2 at its relaxed geometry.

## Properties
As for the formation enthalpy at 0 K: 0.2 eV/f.u. Its volume is 122.36 Å³/cell. The energy comes out at -5.648 eV/atom. The space group is I-42d.

Lattice parameters (Å, degrees): 5.4743 5.4743 5.4743 104.02 104.02 121.04
Element x y z (fractional)
Hf 0.0000 0.0000 0.0000
Hf 0.7500 0.2500 0.5000
Zn 0.2500 0.7500 0.5000
Zn 0.5000 0.5000 0.0000
Ni 0.1417 0.6250 0.0167
Ni 0.3750 0.3917 0.5167
Ni 0.6083 0.1250 0.9833
Ni 0.8750 0.8583 0.4833

DFT (PBE) results for crystalline InRePtBr2 at its relaxed geometry.

## Properties
Its volume is 144.72 Å³/cell. The energy comes out at -3.752 eV/atom. The space group is P4/mmm.

Lattice parameters (Å, degrees): 5.2119 5.2119 5.3276 90.00 90.00 90.00
Element x y z (fractional)
In 0.0000 0.0000 0.0000
Re 0.5000 0.5000 0.0000
Pt 0.0000 0.0000 0.5000
Br 0.0000 0.5000 0.5000
Br 0.5000 0.0000 0.5000

DFT (PBE) results for crystalline Rb3CeP2O8 at its relaxed geometry.

## Properties
Its volume is 248.63 Å³/cell. The energy comes out at -6.753 eV/atom. The space group is P-3m1.

Lattice parameters (Å, degrees): 5.8863 5.8863 8.2857 90.00 90.00 120.00
Element x y z (fractional)
Rb 0.0000 0.0000 0.0000
Rb 0.3333 0.6667 0.7512
Rb 0.6667 0.3333 0.2488
Ce 0.0000 0.0000 0.5000
P 0.3333 0.6667 0.2654
P 0.6667 0.3333 0.7346
O 0.1890 0.3780 0.3321
O 0.1890 0.8110 0.3321
O 0.3333 0.6667 0.0813
O 0.3780 0.1890 0.6679
O 0.6220 0.8110 0.3321
O 0.6667 0.3333 0.9187
O 0.8110 0.1890 0.6679
O 0.8110 0.6220 0.6679

DFT (PBE) results for crystalline Y2In2Te at its relaxed geometry.

## Properties
Its volume is 158.62 Å³/cell. The energy comes out at -4.424 eV/atom. The space group is I4/mmm.

Lattice parameters (Å, degrees): 6.1460 6.1460 6.1460 122.09 122.09 86.41
Element x y z (fractional)
Y 0.2500 0.7500 0.5000
Y 0.7500 0.2500 0.5000
In 0.1536 0.1536 0.0000
In 0.8464 0.8464 0.0000
Te 0.5000 0.5000 0.0000